Version a
## CaBe2Cd2 (PBE)

Data for a relaxed CaBe2Cd2 crystal.

## Properties
- Calculated volume: 19.5 Å³/atom
- Magnetization: 0.00 μB per cell

a b c (Å): 4.3822 4.3822 10.1424
angles (deg): 90.00 90.00 90.00
Last column: nearest neighbours and their distance in Å.
Space group I4/mmm (No. 139)
One atom of each set of equivalent atoms:
Ca1 0.0000 0.0000 0.0000  8 Be 3.35, 10 Cd 3.41-3.66
Be1 0.0000 0.5000 0.2500  4 Cd 2.46
Cd1 0.0000 0.0000 0.3604  4 Be 2.46


Version b
## CaBe2Cd2 (PBE)

Data for a relaxed CaBe2Cd2 crystal.

## Properties
- Calculated volume: 18.3 Å³/atom
- Magnetization: 0.00 μB per cell

a b c (Å): 7.6458 7.6458 3.1271
angles (deg): 90.00 90.00 90.00
Last column: nearest neighbours and their distance in Å.
Space group P4/mbm (No. 127)
One atom of each set of equivalent atoms:
Ca1 0.0000 0.0000 0.0000  4 Be 3.11, 2 Ca 3.13, 8 Cd 3.21
Be1 0.1075 0.3925 0.0000  1 Be 2.32
Cd1 0.1796 0.6796 0.5000  6 Be 2.75-2.78


The structure shown above that is least stable: version b.